# meta-GGA SCAN MnCrCo6, PBEsol geometry
# Crystal system: orthorhombic
# Calculated volume: 10.183 Å³ per atom
# Final energy: -17.458 eV per atom
data_MnCrCo6
_chemical_formula_sum 'Mn8 Cr8 Co48'
_space_group_name_H-M_alt 'C m m m'
_space_group_IT_number 65
_space_group_name_Hall '-C 2 2'
_cell_length_a 6.877
_cell_length_b 9.733
_cell_length_c 9.737
_cell_angle_alpha 90.00
_cell_angle_beta 90.00
_cell_angle_gamma 90.00
loop_
_atom_site_label
_atom_site_fract_x
_atom_site_fract_y
_atom_site_fract_z
_atom_site_occupancy
Mn1 0.000 0.000 0.249 1
Mn2 0.000 0.251 0.000 1
Cr1 0.000 0.251 0.500 1
Cr2 0.000 0.500 0.249 1
Co1 0.000 0.000 0.000 1
Co2 0.000 0.000 0.500 1
Co3 0.000 0.251 0.251 1
Co4 0.000 0.500 0.000 1
Co5 0.000 0.500 0.500 1
Co6 0.249 0.374 0.376 1
Co7 0.249 0.375 0.126 1

***

# meta-GGA SCAN MnCr2Co, PBEsol geometry
# Crystal system: tetragonal
# Calculated volume: 11.121 Å³ per atom
# Final energy: -18.199 eV per atom
data_MnCr2Co
_chemical_formula_sum 'Mn1 Cr2 Co1'
_space_group_name_H-M_alt 'P 4 m m'
_space_group_IT_number 99
_cell_length_a 2.838
_cell_length_b 2.838
_cell_length_c 5.523
_cell_angle_alpha 90.00
_cell_angle_beta 90.00
_cell_angle_gamma 90.00
loop_
_space_group_symop_operation_xyz
'x,y,z'
'-y,x,z'
'-x,-y,z'
'y,-x,z'
'-x,y,z'
'y,x,z'
'x,-y,z'
'-y,-x,z'
loop_
_atom_site_label
_atom_site_fract_x
_atom_site_fract_y
_atom_site_fract_z
_atom_site_occupancy
Mn1 0.000 0.000 0.000 1
Cr1 0.000 0.000 0.505 1
Cr2 0.500 0.500 0.751 1
Co1 0.500 0.500 0.253 1

***

# meta-GGA SCAN Mn2CrCo, PBEsol geometry
# Crystal system: trigonal
# Calculated volume: 10.451 Å³ per atom
# Final energy: -17.815 eV per atom
data_Mn2CrCo
_chemical_formula_sum 'Mn6 Cr3 Co3'
_space_group_name_H-M_alt 'R -3 m'
_space_group_IT_number 166
_space_group_name_Hall '-R 3 2"'
_cell_length_a 2.4442
_cell_length_b 2.4442
_cell_length_c 24.2401
_cell_angle_alpha 90.00
_cell_angle_beta 90.00
_cell_angle_gamma 120.00
loop_
_atom_site_label
_atom_site_fract_x
_atom_site_fract_y
_atom_site_fract_z
_atom_site_occupancy
Mn1 0.0000 0.0000 0.2484 1
Cr1 0.0000 0.0000 0.0000 1
Co1 0.0000 0.0000 0.5000 1